# 1
Material: Ti2VSe2
Method: DFT, GGA-PBE
State: optimized geometry

**Total magnetic moment**: 0.001 μB/cell
**Space group**: No. 127
**ΔE_f (raw)**: -0.59 eV/atom
**V**: 79.54 Å³/f.u.

Cell lengths 6.8153, 6.8153, 3.4247 Å; angles 90.00, 90.00, 90.00 degrees
Fractional positions:
V 0.0000 0.0000 0.0000
V 0.5000 0.5000 0.0000
Se 0.3443 0.8443 0.0000
Se 0.8443 0.6557 0.0000
Se 0.6557 0.1557 0.0000
Se 0.1557 0.3443 0.0000
Ti 0.1497 0.6497 0.5000
Ti 0.6497 0.8503 0.5000
Ti 0.8503 0.3503 0.5000
Ti 0.3503 0.1497 0.5000



# 2
Material: Ce2SmEr3S6
Method: DFT, GGA-PBE
State: optimized geometry

**Total magnetic moment**: 1.886 μB/cell
**Space group**: No. 12
**ΔE_f (raw)**: -2.01 eV/atom
**V**: 260.23 Å³/f.u.

Cell lengths 3.9118, 7.9565, 8.8505 Å; angles 104.02, 102.77, 90.00 degrees
Fractional positions:
Ce 0.8326 0.6651 0.6652
Ce 0.1674 0.3349 0.3348
Sm 0.5000 0.0000 0.0000
Er 0.5000 0.5000 0.0000
Er 0.8335 0.1681 0.6671
Er 0.1665 0.8319 0.3329
S 0.3305 0.9259 0.6610
S 0.6627 0.5920 0.3254
S 0.6695 0.0741 0.3390
S 0.9969 0.2574 0.9938
S 0.0031 0.7426 0.0062
S 0.3373 0.4080 0.6746



# 3
Material: Ge2HO2
Method: DFT, GGA-PBE
State: optimized geometry

**Total magnetic moment**: 2.000 μB/cell
**Space group**: No. 127
**V**: 95.97 Å³/f.u.
**Final energy**: -4.7201 eV/atom

Cell lengths 8.1198, 8.1198, 2.9113 Å; angles 90.00, 90.00, 90.00 degrees
Fractional positions:
H 0.0000 0.0000 0.0000
H 0.5000 0.5000 0.0000
Ge 0.1681 0.6681 0.5000
Ge 0.6681 0.8319 0.5000
Ge 0.8319 0.3319 0.5000
Ge 0.3319 0.1681 0.5000
O 0.2703 0.7703 0.0000
O 0.7703 0.7297 0.0000
O 0.7297 0.2297 0.0000
O 0.2297 0.2703 0.0000



# 4
Material: TlGa2CSe
Method: DFT, GGA-PBE
State: optimized geometry

**Total magnetic moment**: 0.000 μB/cell
**Space group**: No. 123
**ΔE_f (raw)**: 0.58 eV/atom
**V**: 100.91 Å³/f.u.

Cell lengths 4.4814, 5.0249, 4.4814 Å; angles 90.00, 90.00, 90.00 degrees
Fractional positions:
C 0.0000 0.0000 0.0000
Tl 0.0000 0.5000 0.0000
Ga 0.0000 0.0000 0.5000
Ga 0.5000 0.0000 0.0000
Se 0.5000 0.5000 0.5000



# 5
Material: InBiSb
Method: DFT, GGA-PBE
State: optimized geometry

**Total magnetic moment**: 0.000 μB/cell
**Space group**: No. 6
**ΔE_f (raw)**: 0.07 eV/atom
**V**: 94.03 Å³/f.u.

Cell lengths 3.2641, 6.3151, 9.3497 Å; angles 90.00, 102.64, 90.00 degrees
Fractional positions:
In 0.3916 0.0000 0.4684
In 0.6592 0.5000 0.1575
Bi 0.6931 0.0000 0.1437
Bi 0.5892 0.5000 0.8028
Sb 0.3785 0.5000 0.4628
Sb 0.5072 0.0000 0.8032



# 6
Material: Dy2Cd5Hg12
Method: DFT, GGA-PBE
State: optimized geometry

**Total magnetic moment**: 0.000 μB/cell
**Space group**: No. 12
**E_form**: -0.09 eV per atom
**V**: 470.34 Å³/f.u.

Cell lengths 9.7746, 8.9774, 6.4112 Å; angles 93.92, 90.00, 122.98 degrees
Fractional positions:
Dy 0.7611 0.0000 0.0000
Dy 0.2389 0.0000 0.0000
Cd 0.2242 0.4485 0.4972
Cd 0.3397 0.6793 0.1223
Cd 0.0000 0.0000 0.5000
Cd 0.6603 0.3207 0.8777
Cd 0.7758 0.5515 0.5028
Hg 0.1320 0.2641 0.9569
Hg 0.0685 0.6031 0.7997
Hg 0.5346 0.6031 0.7997
Hg 0.1528 0.7917 0.4007
Hg 0.6388 0.7917 0.4007
Hg 0.4541 0.9081 0.7230
Hg 0.5459 0.0919 0.2770
Hg 0.8472 0.2083 0.5993
Hg 0.3612 0.2083 0.5993
Hg 0.9315 0.3969 0.2003
Hg 0.4654 0.3969 0.2003
Hg 0.8680 0.7359 0.0431